The following is a PBE calculation of a relaxed structure of TcSO, from Alexandria.

- M_tot (μB per cell) = 0.0
- relative energy among the computed polymorphs (eV per atom) = 0.249
- theoretical density (g/cm3) = 4.55

Cell and atoms, written as CIF:
```
data_TcSO
_cell_length_a 14.377
_cell_length_b 2.939
_cell_length_c 5.045
_cell_angle_alpha 90.00
_cell_angle_beta 90.49
_cell_angle_gamma 90.00
_space_group_name_H-M_alt 'C 1 m 1'
_space_group_IT_number 8
loop_
_space_group_symop_operation_xyz
'x,y,z'
'x,-y,z'
'x+1/2,y+1/2,z'
'x+1/2,-y+1/2,z'
loop_
_atom_site_label
_atom_site_type_symbol
_atom_site_fract_x
_atom_site_fract_y
_atom_site_fract_z
_atom_site_occupancy
Tc1 Tc 0.000 0.000 0.000 1
Tc2 Tc 0.117 0.500 0.327 1
S1 S 0.002 0.000 0.495 1
S2 S 0.233 0.000 0.442 1
O1 O 0.102 0.500 0.943 1
O2 O 0.411 0.000 0.982 1
```